Here is a geometry-optimized La2HoI structure from Alexandria via LeMat-Bulk. Energies are from PBE.

Cell and atoms, written as POSCAR:
```
La2HoI
1.0
3.864 0.000 0.000
-1.932 3.346 0.000
0.000 0.000 32.689
La Ho I
6 3 3
direct
0.000 0.000 0.000
0.000 0.000 0.174
0.333 0.667 0.667
0.333 0.667 0.841
0.667 0.333 0.333
0.667 0.333 0.507
0.000 0.000 0.754
0.333 0.667 0.420
0.667 0.333 0.087
0.000 0.000 0.587
0.333 0.667 0.254
0.667 0.333 0.921
```

Summary:
Electronic total energy: -4.42 eV per atom
E above lowest polymorph: 0 meV/atom
Density of states at the Fermi level: 1.3701 states/eV/atom



Here is a geometry-optimized La2HoI6 structure from Alexandria via LeMat-Bulk. Energies are from PBE.

Cell and atoms, written as POSCAR:
```
La2HoI6
1.0
8.022 0.000 0.000
0.000 8.022 0.000
0.000 0.000 12.197
La Ho I
4 2 12
direct
0.000 0.000 0.158
0.000 0.000 0.842
0.500 0.500 0.342
0.500 0.500 0.658
0.000 0.000 0.500
0.500 0.500 0.000
0.209 0.209 0.338
0.209 0.209 0.662
0.230 0.230 0.000
0.270 0.730 0.500
0.291 0.709 0.162
0.291 0.709 0.838
0.709 0.291 0.162
0.709 0.291 0.838
0.730 0.270 0.500
0.770 0.770 0.000
0.791 0.791 0.338
0.791 0.791 0.662
```

Summary:
Electronic total energy: -3.85 eV per atom
Density of states at the Fermi level: 0.4754 states/eV/atom



Here is a geometry-optimized La2HoI structure from Alexandria via LeMat-Bulk. Energies are from PBE.

Cell and atoms, written as POSCAR:
```
La2HoI
1.0
3.756 0.000 0.000
0.000 3.756 0.000
0.000 0.000 9.806
La Ho I
2 1 1
direct
0.000 0.000 0.242
0.000 0.000 0.758
0.500 0.500 0.500
0.500 0.500 0.000
```

Summary:
Electronic total energy: -4.38 eV per atom
E above lowest polymorph: 41 meV/atom
Density of states at the Fermi level: 1.0548 states/eV/atom